# Ca2NpAs3Pd4

Ca2NpAs3Pd4 after structural relaxation (PBE, Alexandria via LeMat-Bulk).

Cell: 4.2213 4.2213 11.6380 Å, 90.00 90.00 90.00°
Closest atoms and distances in Å follow each position.
Element x y z (fractional)
Ca (0.0000, 0.5000, 0.2151)  4 As 3.15, 8 Pd 3.27-3.31
Ca (0.5000, 0.0000, 0.7849)  4 As 3.15, 8 Pd 3.27-3.31
Np (0.0000, 0.0000, 0.5000)  4 Pd 2.83, 4 As 2.98
As (0.0000, 0.5000, 0.8726)  5 Pd 2.46-2.58
As (0.5000, 0.0000, 0.1274)  5 Pd 2.46-2.58
As (0.5000, 0.5000, 0.5000)  4 Pd 2.83, 4 Np 2.98
Pd (0.0000, 0.0000, 0.0000)  4 As 2.58
Pd (0.0000, 0.5000, 0.6615)  1 As 2.46
Pd (0.5000, 0.0000, 0.3385)  1 As 2.46
Pd (0.5000, 0.5000, 0.0000)  4 As 2.58

Summary:
volume: 20.7 A^3/atom
DOS(E_F): 10.3 states/eV per cell
raw total energy: -5.84 eV/atom
magnetization: 0.41 μB/atom



# KVZnSe3

KVZnSe3 after structural relaxation (PBE, Alexandria via LeMat-Bulk).

Cell: 3.8891 10.1639 7.7150 Å, 90.00 104.59 90.00°
Closest atoms and distances in Å follow each position.
Element x y z (fractional)
K (0.2454, 0.2500, 0.4916)  8 Se 3.38-3.65, 2 Zn 3.74
K (0.7546, 0.7500, 0.5084)  8 Se 3.38-3.65, 2 Zn 3.74
V (0.0000, 0.0000, 0.0000)  6 Se 2.63-2.74
V (0.0000, 0.5000, 0.0000)  6 Se 2.63-2.74
Zn (0.4686, 0.7500, 0.9363)  4 Se 2.42-2.46
Zn (0.5314, 0.2500, 0.0637)  4 Se 2.42-2.46
Se (0.0696, 0.7500, 0.1384)  2 Zn 2.46, 2 V 2.74
Se (0.3857, 0.5448, 0.7712)  1 Zn 2.42, 2 V 2.63
Se (0.3857, 0.9552, 0.7712)  1 Zn 2.42, 2 V 2.63
Se (0.6143, 0.0448, 0.2288)  1 Zn 2.42, 2 V 2.63
Se (0.6143, 0.4552, 0.2288)  1 Zn 2.42, 2 V 2.63
Se (0.9304, 0.2500, 0.8616)  2 Zn 2.46, 2 V 2.74

Summary:
volume: 24.6 A^3/atom
DOS(E_F): 11.2 states/eV per cell
magnetization: 0.33 μB/atom
energy relative to the elements, uncorrected: -0.792 eV per atom



# ZnP2O4

ZnP2O4 after structural relaxation (PBE, Alexandria via LeMat-Bulk).

Cell: 6.6563 5.4842 7.9678 Å, 90.00 90.00 90.00°
Closest atoms and distances in Å follow each position.
Element x y z (fractional)
Zn (0.0000, 0.0000, 0.0000)  2 O 1.98
Zn (0.5000, 0.0000, 0.0000)  2 O 1.98
P (0.2500, 0.0000, 0.3491)  2 O 1.53
P (0.2500, 0.5000, 0.8495)  2 O 1.54
P (0.7500, 0.0000, 0.6509)  2 O 1.53
P (0.7500, 0.5000, 0.1505)  2 O 1.54
O (0.0573, 0.0000, 0.2441)  1 P 1.53
O (0.2500, 0.2699, 0.9597)  1 P 1.54
O (0.2500, 0.7301, 0.9597)  1 P 1.54
O (0.4427, 0.0000, 0.2441)  1 P 1.53
O (0.5573, 0.0000, 0.7559)  1 P 1.53
O (0.7500, 0.2699, 0.0403)  1 P 1.54
O (0.7500, 0.7301, 0.0403)  1 P 1.54
O (0.9427, 0.0000, 0.7559)  1 P 1.53

Summary:
volume: 20.8 A^3/atom
DOS(E_F): 0.0 states/eV per cell
magnetization: 0.00 μB/atom
energy relative to the elements, uncorrected: -1.454 eV per atom



# La3CuF

La3CuF after structural relaxation (PBE, Alexandria via LeMat-Bulk).

Cell: 5.0481 5.0481 5.0481 Å, 90.00 90.00 90.00°
Closest atoms and distances in Å follow each position.
Element x y z (fractional)
La (0.0000, 0.0000, 0.5000)  2 F 2.52
La (0.0000, 0.5000, 0.0000)  2 F 2.52
La (0.5000, 0.0000, 0.0000)  2 F 2.52
Cu (0.5000, 0.5000, 0.5000)  12 La 3.57
F (0.0000, 0.0000, 0.0000)  6 La 2.52

Summary:
volume: 25.7 A^3/atom
DOS(E_F): 4.2 states/eV per cell
distance to the lowest polymorph of the same formula: 0 meV/atom
magnetization: 0.00 μB/atom
energy relative to the elements, uncorrected: -0.835 eV per atom



# Rb2IrRh2Se6

Rb2IrRh2Se6 after structural relaxation (PBE, Alexandria via LeMat-Bulk).

Cell: 6.6381 6.6381 7.9780 Å, 98.04 98.04 120.09°
Closest atoms and distances in Å follow each position.
Element x y z (fractional)
Rb (0.1673, 0.8327, 0.0000)  6 Se 3.41-3.42, 2 Rb 3.82
Rb (0.8327, 0.1673, 0.0000)  6 Se 3.41-3.42, 2 Rb 3.82
Ir (0.0000, 0.0000, 0.5000)  6 Se 2.52-2.54
Rh (0.3320, 0.6680, 0.5000)  6 Se 2.53-2.54
Rh (0.6680, 0.3320, 0.5000)  6 Se 2.53-2.54
Se (0.0564, 0.3861, 0.6605)  1 Ir 2.52, 2 Rh 2.53-2.54
Se (0.2803, 0.2803, 0.3390)  1 Ir 2.54, 2 Rh 2.54
Se (0.3861, 0.0564, 0.6605)  1 Ir 2.52, 2 Rh 2.53-2.54
Se (0.6139, 0.9436, 0.3395)  1 Ir 2.52, 2 Rh 2.53-2.54
Se (0.7197, 0.7197, 0.6610)  1 Ir 2.54, 2 Rh 2.54
Se (0.9436, 0.6139, 0.3395)  1 Ir 2.52, 2 Rh 2.53-2.54

Summary:
volume: 26.5 A^3/atom
DOS(E_F): 10.6 states/eV per cell
magnetization: 0.00 μB/atom
energy relative to the elements, uncorrected: -0.597 eV per atom



# TbInCu2

TbInCu2 after structural relaxation (PBE, Alexandria via LeMat-Bulk).

Cell: 4.7093 4.7093 4.7093 Å, 60.00 60.00 60.00°
Closest atoms and distances in Å follow each position.
Element x y z (fractional)
Tb (0.0000, 0.0000, 0.0000)  8 Cu 2.88
In (0.5000, 0.5000, 0.5000)  8 Cu 2.88
Cu (0.2500, 0.2500, 0.2500)  4 Tb 2.88, 4 In 2.88
Cu (0.7500, 0.7500, 0.7500)  4 Tb 2.88, 4 In 2.88

Summary:
volume: 18.5 A^3/atom
DOS(E_F): 2.7 states/eV per cell
raw total energy: -4.22 eV/atom
magnetization: 0.00 μB/atom



# Sm5Dy2YEr

Sm5Dy2YEr after structural relaxation (PBE, Alexandria via LeMat-Bulk).

Cell: 10.4550 10.4550 10.6899 Å, 90.00 90.00 148.78°
Closest atoms and distances in Å follow each position.
Element x y z (fractional)
Sm (0.0172, 0.9828, 0.5000)  2 Er 3.23, 3 Dy 3.45-3.56
Sm (0.2812, 0.7188, 0.7898)  1 Er 3.06, 1 Dy 3.35, 2 Sm 3.42
Sm (0.2989, 0.7011, 0.1877)  4 Sm 3.42-3.81, 1 Er 3.46, 3 Dy 3.50-3.80, 3 Y 3.51-3.80
Sm (0.3880, 0.6120, 0.5021)  6 Sm 3.53-3.83, 4 Dy 3.58-3.64, 1 Y 3.79
Sm (0.4812, 0.5188, 0.2221)  2 Er 3.20-3.33, 2 Dy 3.50, 2 Sm 3.53
Sm (0.5188, 0.4812, 0.7221)  2 Er 3.20-3.33, 2 Dy 3.50, 2 Sm 3.53
Sm (0.6120, 0.3880, 0.0021)  6 Sm 3.53-3.83, 4 Dy 3.58-3.64, 1 Y 3.79
Sm (0.7011, 0.2989, 0.6877)  4 Sm 3.42-3.81, 1 Er 3.46, 3 Dy 3.50-3.80, 3 Y 3.51-3.80
Sm (0.7188, 0.2812, 0.2898)  1 Er 3.06, 1 Dy 3.35, 2 Sm 3.42
Sm (0.9828, 0.0172, 0.0000)  2 Er 3.23, 3 Dy 3.45-3.56
Dy (0.1111, 0.8889, 0.2177)  1 Y 3.42, 7 Sm 3.48-3.80, 2 Er 3.71
Dy (0.1149, 0.8851, 0.7947)  9 Sm 3.35-3.71, 1 Y 3.67
Dy (0.8851, 0.1149, 0.2947)  9 Sm 3.35-3.71, 1 Y 3.67
Dy (0.8889, 0.1111, 0.7177)  1 Y 3.42, 7 Sm 3.48-3.80, 2 Er 3.71
Y (0.1999, 0.8001, 0.4907)  2 Dy 3.42-3.67, 8 Sm 3.51-3.80, 2 Er 3.62
Y (0.8001, 0.1999, 0.9907)  2 Dy 3.42-3.67, 8 Sm 3.51-3.80, 2 Er 3.62
Er (0.4102, 0.5898, 0.9407)  5 Sm 3.06-3.33
Er (0.5898, 0.4102, 0.4407)  5 Sm 3.06-3.33

Summary:
volume: 33.6 A^3/atom
DOS(E_F): 28.8 states/eV per cell
raw total energy: -4.72 eV/atom
magnetization: 0.00 μB/atom



# CsB2Se4

CsB2Se4 after structural relaxation (PBE, Alexandria via LeMat-Bulk).

Cell: 5.5575 10.2082 10.3937 Å, 86.11 74.89 74.30°
Closest atoms and distances in Å follow each position.
Element x y z (fractional)
Cs (0.0000, 0.0000, 0.0000)  8 Se 3.85-4.11, 4 B 4.06-4.10
Cs (0.2461, 0.4995, 0.4996)  8 Se 3.85-4.10, 4 B 4.06-4.10
B (0.1227, 0.2496, 0.2500)  2 Se 1.81
B (0.6223, 0.7499, 0.2502)  2 Se 1.81
B (0.6228, 0.2497, 0.7496)  2 Se 1.81
B (0.6230, 0.7500, 0.7494)  2 Se 1.81
Se (0.2919, 0.2948, 0.8497)  1 B 1.81
Se (0.3826, 0.7964, 0.6536)  1 B 1.81
Se (0.4088, 0.2942, 0.1496)  1 B 1.81
Se (0.4277, 0.7033, 0.1546)  1 B 1.81
Se (0.8168, 0.7964, 0.3460)  1 B 1.81
Se (0.8366, 0.2051, 0.3505)  1 B 1.81
Se (0.8635, 0.7035, 0.8451)  1 B 1.81
Se (0.9538, 0.2046, 0.6495)  1 B 1.81

Summary:
volume: 39.1 A^3/atom
DOS(E_F): 4.7 states/eV per cell
magnetization: 0.00 μB/atom
energy relative to the elements, uncorrected: -0.192 eV per atom



# YBe2Br

YBe2Br after structural relaxation (PBE, Alexandria via LeMat-Bulk).

Cell: 3.4103 3.4103 6.2384 Å, 90.00 90.00 90.00°
Closest atoms and distances in Å follow each position.
Element x y z (fractional)
Y (0.0000, 0.0000, 0.0000)  8 Be 3.02, 2 Br 3.12
Be (0.5000, 0.5000, 0.2919)  1 Be 2.60, 4 Br 2.74
Be (0.5000, 0.5000, 0.7081)  1 Be 2.60, 4 Br 2.74
Br (0.0000, 0.0000, 0.5000)  8 Be 2.74

Summary:
volume: 18.1 A^3/atom
DOS(E_F): 3.0 states/eV per cell
distance to the lowest polymorph of the same formula: 628 meV/atom
magnetization: 0.04 μB/atom
energy relative to the elements, uncorrected: 0.442 eV per atom



# Ca2AuBr

Ca2AuBr after structural relaxation (PBE, Alexandria via LeMat-Bulk).

Cell: 8.2168 8.2168 4.0664 Å, 90.18 90.18 26.79°
Closest atoms and distances in Å follow each position.
Element x y z (fractional)
Ca (0.0000, 0.0000, 0.0000)  2 Au 2.96, 4 Br 3.16
Ca (0.2148, 0.2148, 0.4965)  4 Au 3.02, 1 Br 3.06
Au (0.6414, 0.6414, 0.9957)  6 Ca 2.96-3.02
Br (0.4064, 0.4064, 0.4982)  5 Ca 3.06-3.16

Summary:
volume: 30.9 A^3/atom
DOS(E_F): 3.1 states/eV per cell
distance to the lowest polymorph of the same formula: 87 meV/atom
magnetization: 0.00 μB/atom
energy relative to the elements, uncorrected: -1.022 eV per atom



# AcGa2Ge2

AcGa2Ge2 after structural relaxation (PBE, Alexandria via LeMat-Bulk).

Cell: 7.9569 7.9569 3.7345 Å, 90.00 90.00 90.00°
Closest atoms and distances in Å follow each position.
Element x y z (fractional)
Ac (0.0000, 0.0000, 0.0000)  4 Ge 3.19, 8 Ga 3.56
Ac (0.5000, 0.5000, 0.0000)  4 Ge 3.19, 8 Ga 3.56
Ga (0.1487, 0.3513, 0.5000)  4 Ge 2.83
Ga (0.3513, 0.8513, 0.5000)  4 Ge 2.83
Ga (0.6487, 0.1487, 0.5000)  4 Ge 2.83
Ga (0.8513, 0.6487, 0.5000)  4 Ge 2.83
Ge (0.1165, 0.6165, 0.0000)  1 Ge 2.62, 4 Ga 2.83
Ge (0.3835, 0.1165, 0.0000)  1 Ge 2.62, 4 Ga 2.83
Ge (0.6165, 0.8835, 0.0000)  1 Ge 2.62, 4 Ga 2.83
Ge (0.8835, 0.3835, 0.0000)  1 Ge 2.62, 4 Ga 2.83

Summary:
volume: 23.6 A^3/atom
DOS(E_F): 6.3 states/eV per cell
distance to the lowest polymorph of the same formula: 15 meV/atom
magnetization: 0.00 μB/atom



# Cd2FeTc

Cd2FeTc after structural relaxation (PBE, Alexandria via LeMat-Bulk).

Cell: 5.0198 5.0198 5.1132 Å, 98.12 98.12 31.61°
Closest atoms and distances in Å follow each position.
Element x y z (fractional)
Cd (0.2476, 0.2476, 0.2477)  6 Cd 2.73-2.91, 3 Tc 2.88-2.92, 3 Fe 2.88-2.91
Cd (0.7524, 0.7524, 0.7523)  6 Cd 2.73-2.91, 3 Tc 2.88-2.92, 3 Fe 2.88-2.91
Fe (0.5000, 0.5000, 0.0000)  2 Fe 2.73, 6 Cd 2.88-2.91, 4 Tc 2.90
Tc (0.0000, 0.0000, 0.5000)  2 Tc 2.73, 6 Cd 2.88-2.92, 4 Fe 2.90

Summary:
volume: 16.7 A^3/atom
DOS(E_F): 3.3 states/eV per cell
distance to the lowest polymorph of the same formula: 286 meV/atom
magnetization: 0.75 μB/atom



# HoEr3Tm

HoEr3Tm after structural relaxation (PBE, Alexandria via LeMat-Bulk).

Cell: 3.5711 11.3950 8.3391 Å, 90.00 102.36 90.00°
Closest atoms and distances in Å follow each position.
Element x y z (fractional)
Ho (0.1831, 0.2500, 0.3668)  6 Er 3.17-3.40, 2 Tm 3.32
Ho (0.8169, 0.7500, 0.6332)  6 Er 3.17-3.40, 2 Tm 3.32
Er (0.1565, 0.7500, 0.3115)  2 Ho 3.17, 2 Tm 3.26, 4 Er 3.36
Er (0.3484, 0.9999, 0.6974)  6 Er 3.36-3.68, 2 Ho 3.40, 1 Tm 3.65
Er (0.3484, 0.5001, 0.6974)  6 Er 3.36-3.68, 2 Ho 3.40, 1 Tm 3.65
Er (0.6516, 0.0001, 0.3026)  6 Er 3.36-3.68, 2 Ho 3.40, 1 Tm 3.65
Er (0.6516, 0.4999, 0.3026)  6 Er 3.36-3.68, 2 Ho 3.40, 1 Tm 3.65
Er (0.8435, 0.2500, 0.6885)  2 Ho 3.17, 2 Tm 3.26, 4 Er 3.36
Tm (0.4895, 0.7500, 0.9771)  4 Er 3.26-3.65, 2 Ho 3.32, 2 Tm 3.57
Tm (0.5105, 0.2500, 0.0229)  4 Er 3.26-3.65, 2 Ho 3.32, 2 Tm 3.57

Summary:
volume: 33.1 A^3/atom
DOS(E_F): 17.9 states/eV per cell
distance to the lowest polymorph of the same formula: 330 meV/atom
magnetization: 0.00 μB/atom